Entry from the Alexandria database: a relaxed structure of TmMg2Sc3 (GGA-PBE).

The space group is P4/mmm (No. 123) and the conventional cell measures 3.4291, 3.4291 and 12.5995 Å, with angles of 90.00, 90.00 and 90.00 degrees. The asymmetric unit holds Tm at (0.0000, 0.0000, 0.0000), Mg at (0.0000, 0.0000, 0.3444), Sc at (0.5000, 0.5000, 0.1852) and Sc at (0.5000, 0.5000, 0.5000).

The total energy is -4.45 eV per atom. The energy of formation is -0.1 eV/f.u. The calculation puts the density at 3.95 g/cm³.